[1]
RbV3Cd4O12 | meta-GGA SCAN | single point on PBEsol structure

Geometry as extended XYZ:
```
40
Lattice="6.528 -6.757 0.000 6.528 6.757 0.000 -3.011 0.000 6.398" Properties=species:S:1:pos:R:3 pbc="T T T"
Rb 5.023 6.354 3.199
Rb 6.528 -6.354 0.000
V 0.407 1.529 5.702
V 5.020 2.730 3.198
V 1.913 -1.529 2.503
V 9.577 1.476 0.708
V 3.515 -2.730 6.397
V 8.072 -1.476 3.907
Cd 1.694 2.152 2.574
Cd 3.503 3.197 6.357
Cd 0.189 -2.152 5.773
Cd 6.156 0.089 1.345
Cd 4.650 -0.089 4.544
Cd 8.325 2.194 3.859
Cd 5.008 -3.197 3.158
Cd 9.831 -2.194 0.660
O 1.844 4.523 5.428
O 2.546 2.423 0.472
O -0.308 0.004 5.636
O 5.078 3.714 1.799
O 1.197 -0.004 2.437
O 4.936 3.705 4.610
O 2.084 1.409 6.173
O 3.712 1.620 3.340
O 8.155 4.449 0.974
O 1.041 -2.423 3.671
O 6.330 1.586 3.065
O 3.589 -1.409 2.974
O 7.871 1.245 0.242
O 5.217 -1.620 0.141
O 7.374 2.396 5.928
O 3.349 -4.523 2.229
O 6.365 -1.245 3.441
O 4.824 -1.586 6.264
O 3.572 -3.714 4.998
O 8.830 0.024 3.948
O 6.442 -3.705 1.411
O 10.336 -0.024 0.749
O 8.880 -2.396 2.729
O 6.650 -4.449 4.173
```

Values from the calculation:
E_form (uncorrected): -202.13 kJ/mol of atoms
SG: Cc, No. 9

***

[2]
Cd2Re2O7 | meta-GGA SCAN | single point on PBEsol structure

Geometry as extended XYZ:
```
22
Lattice="0.000 5.130 5.130 5.130 0.000 5.130 5.130 5.130 0.000" Properties=species:S:1:pos:R:3 pbc="T T T"
Cd 0.000 0.000 0.000
Cd 2.565 2.565 0.000
Cd 2.565 0.000 2.565
Cd 0.000 2.565 2.565
Re 5.130 2.565 2.565
Re 2.565 5.130 2.565
Re 2.565 2.565 5.130
Re 5.130 5.130 5.130
O 1.283 1.283 1.283
O 3.848 3.848 1.896
O 3.848 1.896 3.848
O 5.799 3.848 3.848
O 6.413 6.413 4.461
O 6.413 4.461 6.413
O 8.364 6.413 6.413
O 1.896 3.848 3.848
O 3.848 5.799 3.848
O 3.848 3.848 5.799
O 4.461 6.413 6.413
O 6.413 8.364 6.413
O 6.413 6.413 8.364
O 8.978 8.978 8.978
```

Values from the calculation:
E_form (uncorrected): -140.50 kJ/mol of atoms
SG: Fd-3m, No. 227

***

Total DFT energy (no corrections) readings, ordered: -623.072; -525.321 eV for the cell shown